The following is a DFT calculation (GGA-PBEsol) of a relaxed structure of Li6Bi5O14.

Total DFT energy (no corrections), eV per cell: -277.37
Magnetization, Bohr magnetons per cell: 0.00

Lattice parameters (Å, degrees): 8.0783 8.0783 10.5155 90.00 90.00 96.02
Atoms (fractional coordinates):
1 Bi 0.2442 0.0619 0.7638
2 O 0.8108 0.9110 0.6376
3 O 0.5693 0.9924 0.4029
4 O 0.9334 0.0666 0.3831
5 Bi 0.6331 0.9942 0.7679
6 O 0.8597 0.5348 0.6623
7 O 0.4307 0.0076 0.9029
8 O 0.7241 0.7899 0.8790
9 O 0.7899 0.7241 0.3790
10 Bi 0.4680 0.5320 0.7600
11 O 0.9924 0.5693 0.9029
12 Li 0.8028 0.6444 0.0222
13 O 0.4131 0.5869 0.9444
14 O 0.5129 0.2208 0.1704
15 Li 0.1972 0.3556 0.5222
16 Li 0.5138 0.2000 0.4906
17 Bi 0.7558 0.9381 0.2638
18 Li 0.0016 0.9984 0.0413
19 O 0.7792 0.4871 0.1704
20 Bi 0.0058 0.3669 0.7679
21 Bi 0.3669 0.0058 0.2679
22 O 0.9110 0.8108 0.1376
23 O 0.1381 0.8619 0.6424
24 Li 0.7228 0.2772 0.0732
25 O 0.2111 0.7889 0.3382
26 Bi 0.0619 0.2442 0.2638
27 O 0.5869 0.4131 0.4444
28 O 0.5348 0.8597 0.1623
29 O 0.0890 0.1892 0.6376
30 O 0.0666 0.9334 0.8831
31 O 0.2759 0.2101 0.3790
32 Li 0.2772 0.7228 0.5732
33 Li 0.6444 0.8028 0.5222
34 Bi 0.9942 0.6331 0.2679
35 Li 0.4862 0.8000 0.9906
36 O 0.2208 0.5129 0.6704
37 Bi 0.5320 0.4680 0.2600
38 O 0.7889 0.2111 0.8382
39 Li 0.2000 0.5138 0.9906
40 Li 0.9984 0.0016 0.5413
41 O 0.0076 0.4307 0.4029
42 O 0.8619 0.1381 0.1424
43 Li 0.8000 0.4862 0.4906
44 O 0.4871 0.7792 0.6704
45 O 0.1403 0.4652 0.1623
46 O 0.1892 0.0890 0.1376
47 O 0.2101 0.2759 0.8790
48 Li 0.3556 0.1972 0.0222
49 O 0.4652 0.1403 0.6623
50 Bi 0.9381 0.7558 0.7638

***

The following is a DFT calculation (GGA-PBEsol) of a relaxed structure of Li8BiO6.

Total DFT energy (no corrections), eV per cell: -77.26
Magnetization, Bohr magnetons per cell: 0.64

Lattice parameters (Å, degrees): 5.5746 5.5746 6.2154 63.36 63.36 60.00
Atoms (fractional coordinates):
1 O 0.1032 0.7561 0.7425
2 O 0.6019 0.8968 0.2575
3 O 0.7561 0.3981 0.7425
4 O 0.2439 0.6019 0.2575
5 Li 0.7728 0.1004 0.6342
6 Li 0.5074 0.2272 0.3658
7 Li 0.2272 0.8996 0.3658
8 Li 0.1004 0.4926 0.6342
9 Li 0.3536 0.3536 0.9393
10 Li 0.4926 0.7728 0.6342
11 O 0.8968 0.2439 0.2575
12 Li 0.6464 0.6464 0.0607
13 Bi 0.0000 0.0000 0.0000
14 O 0.3981 0.1032 0.7425
15 Li 0.8996 0.5074 0.3658

***

The following is a DFT calculation (GGA-PBEsol) of a relaxed structure of Li2BiO3.

Total DFT energy (no corrections), eV per cell: -33.09
Magnetization, Bohr magnetons per cell: 0.00

Lattice parameters (Å, degrees): 3.4248 4.3909 5.3528 114.21 90.00 90.00
Atoms (fractional coordinates):
1 O 0.5000 0.1481 0.2962
2 Li 0.5000 0.3443 0.6887
3 O 0.0000 0.5000 0.0000
4 O 0.5000 0.8519 0.7038
5 Li 0.5000 0.6557 0.3113
6 Bi 0.0000 0.0000 0.0000

***

The following is a DFT calculation (GGA-PBEsol) of a relaxed structure of Li4Bi2O5.

Total DFT energy (no corrections), eV per cell: -239.89
Magnetization, Bohr magnetons per cell: 0.00

Lattice parameters (Å, degrees): 4.5534 8.7595 13.6131 90.00 90.00 90.00
Atoms (fractional coordinates):
1 O 0.0000 0.8605 0.2500
2 O 0.5201 0.9968 0.1182
3 O 0.5000 0.3605 0.7500
4 Li 0.9426 0.3618 0.9914
5 O 0.0201 0.4968 0.8818
6 Li 0.5574 0.8618 0.4914
7 Bi 0.5318 0.4581 0.3724
8 Bi 0.4682 0.4581 0.1276
9 O 0.9799 0.4968 0.6182
10 Li 0.5574 0.1382 0.9914
11 Li 0.7500 0.7500 0.1274
12 Li 0.4426 0.8618 0.0086
13 Bi 0.0318 0.9581 0.6276
14 O 0.0000 0.1395 0.7500
15 Bi 0.0318 0.0419 0.1276
16 Li 0.2500 0.7500 0.3726
17 Li 0.7500 0.2500 0.6274
18 O 0.5201 0.0032 0.6182
19 Li 0.0000 0.6149 0.2500
20 O 0.0201 0.5032 0.3818
21 Li 0.9426 0.6382 0.4914
22 Li 0.0000 0.3851 0.7500
23 Bi 0.4682 0.5419 0.6276
24 Li 0.0574 0.6382 0.0086
25 O 0.4799 0.0032 0.8818
26 O 0.9961 0.8518 0.4700
27 O 0.5000 0.6395 0.2500
28 O 0.0039 0.8518 0.0300
29 Bi 0.5318 0.5419 0.8724
30 Li 0.2500 0.2500 0.8726
31 O 0.4799 0.9968 0.3818
32 O 0.4961 0.6482 0.0300
33 Li 0.4426 0.1382 0.5086
34 O 0.5039 0.6482 0.4700
35 O 0.0039 0.1482 0.5300
36 Li 0.0574 0.3618 0.5086
37 Bi 0.9682 0.9581 0.8724
38 O 0.5039 0.3518 0.9700
39 Bi 0.9682 0.0419 0.3724
40 Li 0.5000 0.8851 0.2500
41 O 0.4961 0.3518 0.5300
42 O 0.9799 0.5032 0.1182
43 Li 0.5000 0.1149 0.7500
44 O 0.9961 0.1482 0.9700

***

The following is a DFT calculation (GGA-PBEsol) of a relaxed structure of LiBi4O7.

Total DFT energy (no corrections), eV per cell: -141.30
Magnetization, Bohr magnetons per cell: 0.00

Lattice parameters (Å, degrees): 6.8569 7.3337 7.9739 67.54 70.56 86.03
Atoms (fractional coordinates):
1 Li 0.0000 0.0000 0.5000
2 O 0.4459 0.3605 0.2757
3 O 0.8669 0.6281 0.9504
4 Bi 0.6311 0.8691 0.8506
5 O 0.5541 0.6395 0.7243
6 Bi 0.7879 0.3523 0.2185
7 O 0.8176 0.4892 0.4259
8 O 0.0282 0.8962 0.2804
9 O 0.7338 0.1380 0.0976
10 Bi 0.6763 0.8257 0.3869
11 O 0.4858 0.8107 0.1684
12 Bi 0.3237 0.1743 0.6131
13 Bi 0.2121 0.6477 0.7815
14 O 0.1824 0.5108 0.5741
15 O 0.2904 0.9378 0.5040
16 Li 0.0000 0.0000 0.0000
17 Bi 0.3689 0.1309 0.1494
18 Bi 0.8024 0.3736 0.7325
19 O 0.5142 0.1893 0.8316
20 O 0.9718 0.1038 0.7196
21 O 0.1331 0.3719 0.0496
22 O 0.2662 0.8620 0.9024
23 Bi 0.1976 0.6264 0.2675
24 O 0.7096 0.0622 0.4960

***

The following is a DFT calculation (GGA-PBEsol) of a relaxed structure of Li2BiO3.

Total DFT energy (no corrections), eV per cell: -66.13
Magnetization, Bohr magnetons per cell: 0.00

Lattice parameters (Å, degrees): 5.4753 5.4753 5.5524 99.47 99.47 120.46
Atoms (fractional coordinates):
1 Bi 0.1007 0.9166 0.0087
2 Li 0.4325 0.5849 0.0090
3 O 0.1754 0.3305 0.2513
4 Li 0.7615 0.2545 0.0079
5 Bi 0.9166 0.1007 0.5087
6 O 0.3305 0.1754 0.7513
7 Li 0.5849 0.4325 0.5090
8 O 0.5084 0.0081 0.2587
9 O 0.8423 0.6870 0.2666
10 O 0.0081 0.5084 0.7587
11 Li 0.2545 0.7615 0.5079
12 O 0.6870 0.8423 0.7666